Compound: UAl11Co
Source: the Alexandria database
Functional: PBE-GGA
Structure: relaxed

a b c (Å): 5.1570 12.4809 7.0468
angles (deg): 90.00 109.94 90.00
Space group C2/m (No. 12)
Asymmetric unit:
U1 0.0000 0.0000 0.0000
Al1 0.0000 0.0000 0.5000
Al2 0.1048 0.3946 0.2249
Al3 0.1916 0.1715 0.3591
Al4 0.2500 0.2500 0.0000
Co1 0.0000 0.5000 0.5000

Summary:
Theoretical density   4.62 Mg/m³
DOS(E_F)   23.56 states/eV per cell
Crystal system   monoclinic
DFT formation energy   -130.1 meV per atom
Uncorrected energy   -122.51 eV/cell

=====

Compound: LaInRe2Pb
Source: the Alexandria database
Functional: PBE-GGA
Structure: relaxed

a b c (Å): 4.9328 4.9328 5.8606
angles (deg): 90.00 90.00 90.00
Space group P4/mmm (No. 123)
Asymmetric unit:
La1 0.0000 0.0000 0.0000
In1 0.0000 0.0000 0.5000
Re1 0.0000 0.5000 0.0000
Pb1 0.5000 0.5000 0.5000

Summary:
Theoretical density   9.70 Mg/m³
DOS(E_F)   6.16 states/eV per cell
Crystal system   tetragonal
Excess energy over the best structure of this formula in the dataset   0.452 eV/atom
DFT formation energy   2091.8 meV per atom
Uncorrected energy   -25.81 eV/cell

=====

Compound: Er5ZrIn3
Source: the Alexandria database
Functional: PBE-GGA
Structure: relaxed

a b c (Å): 9.1827 9.1827 6.5677
angles (deg): 90.00 90.00 120.00
Space group P6_3/mcm (No. 193)
Asymmetric unit:
Er1 0.0000 0.3177 0.2500
Er2 0.3333 0.6667 0.0000
Zr1 0.0000 0.0000 0.0000
In1 0.0000 0.3432 0.7500

Summary:
Theoretical density   8.81 Mg/m³
DOS(E_F)   15.89 states/eV per cell
Crystal system   hexagonal
DFT formation energy   -306.4 meV per atom
Uncorrected energy   -84.67 eV/cell